1.
# Tl4InF7 (PBE, optimized geometry)
# Uncorrected energy (eV per atom): -4.15
# Magnetization (Bohr magnetons per cell): 0.000
# Space-group type: C2/m (12)
# Raw formation energy (eV per atom): -2.0435
data_Tl4InF7
_cell_length_a 4.261
_cell_length_b 6.608
_cell_length_c 10.053
_cell_angle_alpha 106.50
_cell_angle_beta 102.23
_cell_angle_gamma 90.00
_symmetry_space_group_name_H-M 'P 1'
_symmetry_Int_Tables_number 1
loop_
_symmetry_equiv_pos_as_xyz
'x,y,z'
loop_
_atom_site_label
_atom_site_type_symbol
_atom_site_fract_x
_atom_site_fract_y
_atom_site_fract_z
Tl1 Tl 0.694 0.160 0.388
F1 F 0.500 0.000 0.000
F2 F 0.722 0.801 0.444
F3 F 0.080 0.292 0.160
F4 F 0.278 0.199 0.556
Tl2 Tl 0.593 0.579 0.187
Tl3 Tl 0.407 0.421 0.813
F5 F 0.920 0.708 0.840
Tl4 Tl 0.306 0.840 0.612
F6 F 0.919 0.150 0.838
In1 In 0.000 0.000 0.000
F7 F 0.081 0.850 0.162



2.
# RbMgGe2Cl (PBE, optimized geometry)
# Uncorrected energy (eV per atom): -2.80
# Magnetization (Bohr magnetons per cell): 1.199
# Space-group type: P4/mmm (123)
# Raw formation energy (eV per atom): -0.0733
data_RbMgGe2Cl
_cell_length_a 5.144
_cell_length_b 5.897
_cell_length_c 5.144
_cell_angle_alpha 90.00
_cell_angle_beta 90.00
_cell_angle_gamma 90.00
_symmetry_space_group_name_H-M 'P 1'
_symmetry_Int_Tables_number 1
loop_
_symmetry_equiv_pos_as_xyz
'x,y,z'
loop_
_atom_site_label
_atom_site_type_symbol
_atom_site_fract_x
_atom_site_fract_y
_atom_site_fract_z
Cl1 Cl 0.000 0.500 0.000
Mg1 Mg 0.000 0.000 0.000
Rb1 Rb 0.500 0.500 0.500
Ge1 Ge 0.500 0.000 0.000
Ge2 Ge 0.000 0.000 0.500



3.
# ZrFe2Si2 (PBE, optimized geometry)
# Uncorrected energy (eV per atom): -7.67
# Offset from the most stable computed form (eV/atom): 0.244
# Magnetization (Bohr magnetons per cell): 0.684
# Space-group type: I4/mmm (139)
# Raw formation energy (eV per atom): -0.4098
data_ZrFe2Si2
_cell_length_a 3.964
_cell_length_b 3.964
_cell_length_c 5.246
_cell_angle_alpha 67.80
_cell_angle_beta 67.80
_cell_angle_gamma 90.00
_symmetry_space_group_name_H-M 'P 1'
_symmetry_Int_Tables_number 1
loop_
_symmetry_equiv_pos_as_xyz
'x,y,z'
loop_
_atom_site_label
_atom_site_type_symbol
_atom_site_fract_x
_atom_site_fract_y
_atom_site_fract_z
Fe1 Fe 0.382 0.382 0.236
Fe2 Fe 0.618 0.618 0.764
Si1 Si 0.250 0.750 0.500
Si2 Si 0.750 0.250 0.500
Zr1 Zr 0.000 0.000 0.000



4.
# KLaS14 (PBE, optimized geometry)
# Uncorrected energy (eV per atom): -4.33
# Magnetization (Bohr magnetons per cell): 0.000
# Space-group type: C2/c (15)
# Raw formation energy (eV per atom): -0.3463
data_KLaS14
_cell_length_a 19.968
_cell_length_b 9.235
_cell_length_c 9.235
_cell_angle_alpha 58.38
_cell_angle_beta 50.90
_cell_angle_gamma 50.90
_symmetry_space_group_name_H-M 'P 1'
_symmetry_Int_Tables_number 1
loop_
_symmetry_equiv_pos_as_xyz
'x,y,z'
loop_
_atom_site_label
_atom_site_type_symbol
_atom_site_fract_x
_atom_site_fract_y
_atom_site_fract_z
S1 S 0.570 0.069 0.082
S2 S 0.401 0.735 0.586
S3 S 0.099 0.914 0.765
K1 K 0.250 0.283 0.217
S4 S 0.863 0.904 0.894
S5 S 0.061 0.263 0.957
La1 La 0.500 0.000 0.500
S6 S 0.642 0.978 0.524
S7 S 0.212 0.650 0.807
S8 S 0.142 0.024 0.478
S9 S 0.118 0.457 0.763
S10 S 0.430 0.931 0.918
S11 S 0.882 0.543 0.237
S12 S 0.599 0.265 0.414
La2 La 0.000 0.000 0.500
S13 S 0.363 0.394 0.404
S14 S 0.788 0.350 0.193
S15 S 0.618 0.263 0.957
S16 S 0.439 0.543 0.237
S17 S 0.712 0.307 0.150
S18 S 0.939 0.737 0.043
S19 S 0.930 0.418 0.431
S20 S 0.637 0.606 0.596
S21 S 0.288 0.693 0.850
S22 S 0.858 0.976 0.522
K2 K 0.750 0.717 0.783
S23 S 0.561 0.457 0.763
S24 S 0.358 0.022 0.476
S25 S 0.070 0.582 0.569
S26 S 0.382 0.737 0.043
S27 S 0.137 0.096 0.106
S28 S 0.901 0.086 0.235



Please write out number 4 again, unchanged.
# KLaS14 (PBE, optimized geometry)
# Uncorrected energy (eV per atom): -4.33
# Magnetization (Bohr magnetons per cell): 0.000
# Space-group type: C2/c (15)
# Raw formation energy (eV per atom): -0.3463
data_KLaS14
_cell_length_a 19.968
_cell_length_b 9.235
_cell_length_c 9.235
_cell_angle_alpha 58.38
_cell_angle_beta 50.90
_cell_angle_gamma 50.90
_symmetry_space_group_name_H-M 'P 1'
_symmetry_Int_Tables_number 1
loop_
_symmetry_equiv_pos_as_xyz
'x,y,z'
loop_
_atom_site_label
_atom_site_type_symbol
_atom_site_fract_x
_atom_site_fract_y
_atom_site_fract_z
S1 S 0.570 0.069 0.082
S2 S 0.401 0.735 0.586
S3 S 0.099 0.914 0.765
K1 K 0.250 0.283 0.217
S4 S 0.863 0.904 0.894
S5 S 0.061 0.263 0.957
La1 La 0.500 0.000 0.500
S6 S 0.642 0.978 0.524
S7 S 0.212 0.650 0.807
S8 S 0.142 0.024 0.478
S9 S 0.118 0.457 0.763
S10 S 0.430 0.931 0.918
S11 S 0.882 0.543 0.237
S12 S 0.599 0.265 0.414
La2 La 0.000 0.000 0.500
S13 S 0.363 0.394 0.404
S14 S 0.788 0.350 0.193
S15 S 0.618 0.263 0.957
S16 S 0.439 0.543 0.237
S17 S 0.712 0.307 0.150
S18 S 0.939 0.737 0.043
S19 S 0.930 0.418 0.431
S20 S 0.637 0.606 0.596
S21 S 0.288 0.693 0.850
S22 S 0.858 0.976 0.522
K2 K 0.750 0.717 0.783
S23 S 0.561 0.457 0.763
S24 S 0.358 0.022 0.476
S25 S 0.070 0.582 0.569
S26 S 0.382 0.737 0.043
S27 S 0.137 0.096 0.106
S28 S 0.901 0.086 0.235



Among the records above, which one has the highest magnetization? RbMgGe2Cl



Which of these has the lowest uncorrected energy? ZrFe2Si2



What is the raw formation energy in the first record? -2.0435 eV per atom